## KCr3C4O12 (PBE+U)

Data for a geometry-optimized KCr3C4O12 structure.

abc: 6.2569 6.2569 6.2569
angles: 101.51 101.51 101.51
Last column: nearest neighbours and their distance in Å.
Sites, in units of the cell vectors:
K 0.0000 0.0000 0.0000  6 O 2.64
Cr 0.0000 0.5431 0.4569  6 O 2.05-2.19
Cr 0.4569 0.0000 0.5431  6 O 2.05-2.19
Cr 0.5431 0.4569 0.0000  6 O 2.05-2.19
C 0.0437 0.5000 0.9563  3 O 1.28-1.33
C 0.5000 0.5000 0.5000  3 O 1.30
C 0.5000 0.9563 0.0437  3 O 1.28-1.33
C 0.9563 0.0437 0.5000  3 O 1.28-1.33
O 0.0009 0.5894 0.7907  1 C 1.28
O 0.0940 0.9060 0.5000  1 C 1.33
O 0.2093 0.4106 0.9991  1 C 1.28
O 0.3659 0.6341 0.5000  1 C 1.30
O 0.4106 0.9991 0.2093  1 C 1.28
O 0.5000 0.0940 0.9060  1 C 1.33
O 0.5000 0.3659 0.6341  1 C 1.30
O 0.5894 0.7907 0.0009  1 C 1.28
O 0.6341 0.5000 0.3659  1 C 1.30
O 0.7907 0.0009 0.5894  1 C 1.28
O 0.9060 0.5000 0.0940  1 C 1.33
O 0.9991 0.2093 0.4106  1 C 1.28

Output
Volume (A^3/atom): 11.4
Space group: R32 (155)
DFT total energy (eV/f.u.): -151.3